No. 1
Entry from Alexandria: a geometry-optimized BaPIN2 structure (GGA-PBE).

The structure in POSCAR format:
```
BaPIN2
1.0
4.560 0.000 0.000
0.000 4.560 0.000
0.000 0.000 7.503
Ba P I N
1 1 1 2
Direct
0.000 0.000 0.000 Ba
0.500 0.500 0.500 P
0.000 0.000 0.500 I
0.000 0.500 0.000 N
0.500 0.000 0.000 N
```

Calculated values
As for the electronic total energy: -0.11871 hartree per atom. The uncorrected formation energy comes out at 1.877 eV/atom. As for the space-group type: P4/mmm, No. 123. The value obtained for the excess energy over the best structure of this formula in the dataset is 492 kJ/mol of formula units. The total magnetization comes out at 1.88 μB per cell. The density of states at the Fermi level is 5.55 states/eV/f.u.

---

No. 2
Entry from Alexandria: a geometry-optimized Cs2LaTe2 structure (GGA-PBE).

The structure in POSCAR format:
```
Cs2LaTe2
1.0
10.024 0.000 0.000
0.000 10.024 0.000
0.000 0.000 4.266
Cs La Te
4 2 4
Direct
0.119 0.381 0.000 Cs
0.381 0.881 0.000 Cs
0.619 0.119 0.000 Cs
0.881 0.619 0.000 Cs
0.000 0.000 0.000 La
0.500 0.500 0.000 La
0.184 0.684 0.500 Te
0.316 0.184 0.500 Te
0.684 0.816 0.500 Te
0.816 0.316 0.500 Te
```

Calculated values
As for the electronic total energy: -0.11209 hartree per atom. The uncorrected formation energy comes out at -0.467 eV/atom. As for the space-group type: P4/mbm, No. 127. The value obtained for the excess energy over the best structure of this formula in the dataset is 246 kJ/mol of formula units. The total magnetization comes out at 0.18 μB per cell. The density of states at the Fermi level is 22.18 states/eV/f.u.

---

No. 3
Entry from Alexandria: a geometry-optimized BC2 structure (GGA-PBE).

The structure in POSCAR format:
```
BC2
1.0
2.530 0.000 0.000
-1.265 2.191 0.000
0.000 0.000 13.608
B C
4 8
Direct
0.000 0.000 0.213 B
0.000 0.000 0.787 B
0.333 0.667 0.864 B
0.667 0.333 0.136 B
0.000 0.000 0.329 C
0.000 0.000 0.671 C
0.333 0.667 0.367 C
0.333 0.667 0.481 C
0.333 0.667 0.980 C
0.667 0.333 0.020 C
0.667 0.333 0.519 C
0.667 0.333 0.633 C
```

Calculated values
As for the electronic total energy: -0.29736 hartree per atom. As for the space-group type: P-3m1, No. 164. The value obtained for the excess energy over the best structure of this formula in the dataset is 13 kJ/mol of formula units. The total magnetization comes out at 0.00 μB per cell. The calculation puts the calculated formation energy at 0.284 eV/atom. The density of states at the Fermi level is 0.45 states/eV/f.u.

---

No. 4
Entry from Alexandria: a geometry-optimized Rb2PuTe4Au2 structure (GGA-PBE).

The structure in POSCAR format:
```
Rb2PuTe4Au2
1.0
8.273 -2.273 0.000
8.273 2.273 0.000
-2.638 0.000 8.171
Rb Pu Te Au
2 1 4 2
Direct
0.136 0.136 0.087 Rb
0.864 0.864 0.913 Rb
0.000 0.000 0.500 Pu
0.197 0.197 0.676 Te
0.498 0.498 0.749 Te
0.502 0.502 0.251 Te
0.803 0.803 0.324 Te
0.343 0.343 0.517 Au
0.657 0.657 0.483 Au
```

Calculated values
As for the electronic total energy: -0.17116 hartree per atom. The uncorrected formation energy comes out at -0.726 eV/atom. As for the space-group type: C2/m, No. 12. The total magnetization comes out at 4.23 μB per cell. The density of states at the Fermi level is 12.27 states/eV/f.u.

---

No. 5
Entry from Alexandria: a geometry-optimized NdSm2Dy5Ho structure (GGA-PBE).

The structure in POSCAR format:
```
NdSm2Dy5Ho
1.0
-4.384 4.384 7.660
4.384 -4.384 7.660
4.384 4.384 -7.660
Nd Sm Dy Ho
2 4 10 2
Direct
0.250 0.250 0.000 Nd
0.750 0.750 0.000 Nd
0.116 0.616 0.732 Sm
0.384 0.116 0.500 Sm
0.616 0.884 0.500 Sm
0.884 0.384 0.268 Sm
0.000 0.000 0.000 Dy
0.072 0.155 0.500 Dy
0.155 0.655 0.083 Dy
0.345 0.428 0.500 Dy
0.428 0.928 0.083 Dy
0.500 0.500 0.000 Dy
0.572 0.072 0.917 Dy
0.655 0.572 0.500 Dy
0.845 0.345 0.917 Dy
0.928 0.845 0.500 Dy
0.250 0.750 0.500 Ho
0.750 0.250 0.500 Ho
```

Calculated values
As for the electronic total energy: -0.16059 hartree per atom. As for the space-group type: I4/mcm, No. 140. The total magnetization comes out at 0.00 μB per cell. The calculation puts the calculated formation energy at 0.274 eV/atom. The density of states at the Fermi level is 10.54 states/eV/f.u.

---

No. 6
Entry from Alexandria: a geometry-optimized VCo2Ni2 structure (GGA-PBE).

The structure in POSCAR format:
```
VCo2Ni2
1.0
-1.631 1.631 5.689
1.631 -1.631 5.689
1.631 1.631 -5.689
V Co Ni
1 2 2
Direct
0.000 0.000 0.000 V
0.402 0.402 0.000 Co
0.598 0.598 0.000 Co
0.250 0.750 0.500 Ni
0.750 0.250 0.500 Ni
```

Calculated values
As for the electronic total energy: -0.24687 hartree per atom. As for the space-group type: I4/mmm, No. 139. The value obtained for the excess energy over the best structure of this formula in the dataset is 174 kJ/mol of formula units. The total magnetization comes out at 1.74 μB per cell. The calculation puts the calculated formation energy at 0.261 eV/atom. The density of states at the Fermi level is 5.94 states/eV/f.u.

---

No. 7
Entry from Alexandria: a geometry-optimized AlSe structure (GGA-PBE).

The structure in POSCAR format:
```
AlSe
1.0
3.641 0.000 0.000
-1.821 3.153 0.000
0.000 0.000 8.469
Al Se
2 2
Direct
0.333 0.667 0.152 Al
0.667 0.333 0.848 Al
0.333 0.667 0.695 Se
0.667 0.333 0.305 Se
```

Calculated values
As for the electronic total energy: -0.14568 hartree per atom. The uncorrected formation energy comes out at -0.351 eV/atom. As for the space-group type: P-3m1, No. 164. The total magnetization comes out at 0.00 μB per cell. The density of states at the Fermi level is 1.54 states/eV/f.u.

---

No. 8
Entry from Alexandria: a geometry-optimized KSnSeF structure (GGA-PBE).

The structure in POSCAR format:
```
KSnSeF
1.0
2.104 1.215 15.500
-2.104 1.215 15.500
0.000 -2.429 15.500
K Sn Se F
2 2 2 2
Direct
0.137 0.137 0.137 K
0.863 0.863 0.863 K
0.301 0.301 0.301 Sn
0.699 0.699 0.699 Sn
0.397 0.397 0.397 Se
0.603 0.603 0.603 Se
0.195 0.195 0.195 F
0.805 0.805 0.805 F
```

Calculated values
As for the electronic total energy: -0.14930 hartree per atom. The uncorrected formation energy comes out at -1.449 eV/atom. As for the space-group type: R-3m, No. 166. The total magnetization comes out at 0.00 μB per cell. The density of states at the Fermi level is 0.07 states/eV/f.u.

---

No. 9
Entry from Alexandria: a geometry-optimized Ac4TbTm3Bi8 structure (GGA-PBE).

The structure in POSCAR format:
```
Ac4TbTm3Bi8
1.0
4.672 2.697 7.600
-4.672 2.697 7.600
0.000 -5.395 7.600
Ac Tb Tm Bi
4 1 3 8
Direct
0.000 0.000 0.000 Ac
0.000 0.500 0.500 Ac
0.500 0.000 0.500 Ac
0.500 0.500 0.000 Ac
0.500 0.500 0.500 Tb
0.000 0.000 0.500 Tm
0.000 0.500 0.000 Tm
0.500 0.000 0.000 Tm
0.240 0.743 0.743 Bi
0.241 0.241 0.241 Bi
0.257 0.257 0.760 Bi
0.257 0.760 0.257 Bi
0.743 0.240 0.743 Bi
0.743 0.743 0.240 Bi
0.759 0.759 0.759 Bi
0.760 0.257 0.257 Bi
```

Calculated values
As for the electronic total energy: -0.18305 hartree per atom. As for the space-group type: R-3m, No. 166. The total magnetization comes out at 0.00 μB per cell. The calculation puts the calculated formation energy at -0.886 eV/atom. The density of states at the Fermi level is 3.19 states/eV/f.u.

---

No. 10
Entry from Alexandria: a geometry-optimized Pr2MgPd2Pt5 structure (GGA-PBE).

The structure in POSCAR format:
```
Pr2MgPd2Pt5
1.0
9.551 0.000 0.000
0.000 9.551 0.000
0.000 0.000 4.200
Pr Mg Pd Pt
4 2 4 10
Direct
0.173 0.327 0.000 Pr
0.327 0.827 0.000 Pr
0.673 0.173 0.000 Pr
0.827 0.673 0.000 Pr
0.000 0.000 0.000 Mg
0.500 0.500 0.000 Mg
0.126 0.626 0.000 Pd
0.374 0.126 0.000 Pd
0.626 0.874 0.000 Pd
0.874 0.374 0.000 Pd
0.000 0.500 0.500 Pt
0.059 0.799 0.500 Pt
0.201 0.059 0.500 Pt
0.299 0.559 0.500 Pt
0.441 0.299 0.500 Pt
0.500 0.000 0.500 Pt
0.559 0.701 0.500 Pt
0.701 0.441 0.500 Pt
0.799 0.941 0.500 Pt
0.941 0.201 0.500 Pt
```

Calculated values
As for the electronic total energy: -0.21851 hartree per atom. As for the space-group type: P4/mbm, No. 127. The total magnetization comes out at 0.00 μB per cell. The calculation puts the calculated formation energy at -0.772 eV/atom. The density of states at the Fermi level is 5.05 states/eV/f.u.

---

No. 11
Entry from Alexandria: a geometry-optimized AcTm2RuO8 structure (GGA-PBE).

The structure in POSCAR format:
```
AcTm2RuO8
1.0
3.537 -3.572 0.000
3.537 3.572 0.000
0.000 0.000 6.990
Ac Tm Ru O
1 2 1 8
Direct
0.000 0.000 0.000 Ac
0.500 0.500 0.258 Tm
0.500 0.500 0.742 Tm
0.000 0.000 0.500 Ru
0.189 0.189 0.303 O
0.189 0.189 0.697 O
0.274 0.726 0.500 O
0.327 0.673 0.000 O
0.673 0.327 0.000 O
0.726 0.274 0.500 O
0.811 0.811 0.303 O
0.811 0.811 0.697 O
```

Calculated values
As for the electronic total energy: -0.27772 hartree per atom. The uncorrected formation energy comes out at -2.391 eV/atom. As for the space-group type: Cmmm, No. 65. The total magnetization comes out at 1.40 μB per cell. The density of states at the Fermi level is 5.60 states/eV/f.u.

---

No. 12
Entry from Alexandria: a geometry-optimized TbY3Ho2Se6 structure (GGA-PBE).

The structure in POSCAR format:
```
TbY3Ho2Se6
1.0
3.515 -6.129 0.000
3.515 6.129 0.000
-2.357 0.000 6.671
Tb Y Ho Se
1 3 2 6
Direct
0.000 0.000 0.000 Tb
0.165 0.835 0.500 Y
0.500 0.500 0.500 Y
0.835 0.165 0.500 Y
0.334 0.666 0.000 Ho
0.666 0.334 0.000 Ho
0.083 0.419 0.249 Se
0.253 0.253 0.753 Se
0.419 0.083 0.249 Se
0.581 0.917 0.751 Se
0.747 0.747 0.247 Se
0.917 0.581 0.751 Se
```

Calculated values
As for the electronic total energy: -0.23008 hartree per atom. The uncorrected formation energy comes out at -1.754 eV/atom. As for the space-group type: C2/m, No. 12. The total magnetization comes out at 0.00 μB per cell. The density of states at the Fermi level is 5.62 states/eV/f.u.